#one
Material: TaNi3P
Method: DFT, PBE
State: relaxed Values from VASP.

Structure (Quantum ESPRESSO input):
```
&SYSTEM
  ibrav = 0, nat = 5, ntyp = 3
/
ATOMIC_SPECIES
Ni 58.69 Ni.upf
Ta 180.95 Ta.upf
P 30.97 P.upf
ATOMIC_POSITIONS angstrom
Ni -0.208 -1.523 1.368
Ni -2.026 0.349 0.079
Ni 0.290 1.339 1.535
Ta -1.944 0.164 2.982
P 0.000 0.000 0.000
CELL_PARAMETERS angstrom
-4.053 0.697 0.159
-0.417 -3.046 2.736
0.581 2.678 3.070
```

M_tot = 0.2 μB per formula unit
DOS at the Fermi energy = 6.21 states/eV per cell
space group = Pm-3m



#two
Material: TaNi3P
Method: DFT, PBE
State: relaxed Values from VASP.

Structure (Quantum ESPRESSO input):
```
&SYSTEM
  ibrav = 0, nat = 5, ntyp = 3
/
ATOMIC_SPECIES
Ni 58.69 Ni.upf
Ta 180.95 Ta.upf
P 30.97 P.upf
ATOMIC_POSITIONS angstrom
Ni -0.228 -1.591 1.593
Ni -1.539 -1.058 -1.277
Ni -1.643 1.212 0.976
Ta 0.000 0.000 0.000
P -3.411 -1.437 1.291
CELL_PARAMETERS angstrom
-3.079 -2.116 -2.555
-0.456 -3.182 3.186
-3.286 2.425 1.951
```

M_tot = 0.0 μB per formula unit
DOS at the Fermi energy = 5.23 states/eV per cell
space group = Pm-3m



Of them, the most stable is #one and the least stable is #two.



#one
Material: TbNi3P3
Method: DFT, PBE
State: relaxed Values from VASP.

Structure (Quantum ESPRESSO input):
```
&SYSTEM
  ibrav = 0, nat = 14, ntyp = 3
/
ATOMIC_SPECIES
Ni 58.69 Ni.upf
P 30.97 P.upf
Tb 158.93 Tb.upf
ATOMIC_POSITIONS angstrom
Ni -4.707 -0.448 -3.988
Ni -5.985 -2.495 -7.909
Ni -4.251 -3.019 -4.643
Ni -7.240 -0.788 -4.833
Ni -3.452 -2.155 -7.064
Ni -6.441 0.077 -7.254
P -5.919 0.949 -5.217
P -4.773 -3.892 -6.680
P -7.785 -1.630 -6.815
P -5.997 -2.194 -3.545
P -4.695 -0.748 -8.352
P -2.908 -1.313 -5.082
Tb -1.727 0.505 -3.277
Tb -8.965 -3.448 -8.620
CELL_PARAMETERS angstrom
-4.715 2.742 -3.490
-0.450 -1.205 -6.346
-5.527 -4.480 -2.061
```

M_tot = 0.0 μB per formula unit
DOS at the Fermi energy = 7.77 states/eV per cell
space group = R-3



#two
Material: TbNi3P3
Method: DFT, PBE
State: relaxed Values from VASP.

Structure (Quantum ESPRESSO input):
```
&SYSTEM
  ibrav = 0, nat = 14, ntyp = 3
/
ATOMIC_SPECIES
P 30.97 P.upf
Ni 58.69 Ni.upf
Tb 158.93 Tb.upf
ATOMIC_POSITIONS angstrom
P 3.055 0.000 1.527
P 0.000 4.582 3.055
P 1.527 3.055 0.000
P 4.582 3.055 0.000
P 0.000 1.527 3.055
P 3.055 0.000 4.582
Ni 0.000 3.055 1.527
Ni 3.055 1.527 0.000
Ni 4.582 0.000 3.055
Ni 1.527 0.000 3.055
Ni 0.000 3.055 4.582
Ni 3.055 4.582 0.000
Tb 3.055 3.055 3.055
Tb 0.000 0.000 0.000
CELL_PARAMETERS angstrom
6.110 0.000 0.000
0.000 6.110 0.000
0.000 0.000 6.110
```

M_tot = 0.0 μB per formula unit
DOS at the Fermi energy = 9.12 states/eV per cell
space group = Pm-3n



Of them, the most stable is #one and the least stable is #two.



#one
Material: Tc3NiP
Method: DFT, PBE
State: relaxed Values from VASP.

Structure (Quantum ESPRESSO input):
```
&SYSTEM
  ibrav = 0, nat = 5, ntyp = 3
/
ATOMIC_SPECIES
P 30.97 P.upf
Tc 98.00 Tc.upf
Ni 58.69 Ni.upf
ATOMIC_POSITIONS angstrom
P 0.000 0.000 0.000
Tc 0.000 2.160 0.000
Tc 2.160 0.000 0.000
Tc 0.000 0.000 2.160
Ni 2.160 2.160 2.160
CELL_PARAMETERS angstrom
4.321 0.000 0.000
0.000 4.321 0.000
0.000 0.000 4.321
```

M_tot = 0.3 μB per formula unit
DOS at the Fermi energy = 5.79 states/eV per cell
space group = Pm-3m



#two
Material: Tc3NiP
Method: DFT, PBE
State: relaxed Values from VASP.

Structure (Quantum ESPRESSO input):
```
&SYSTEM
  ibrav = 0, nat = 5, ntyp = 3
/
ATOMIC_SPECIES
P 30.97 P.upf
Tc 98.00 Tc.upf
Ni 58.69 Ni.upf
ATOMIC_POSITIONS angstrom
P 2.213 2.213 2.213
Tc 0.000 0.000 2.213
Tc 0.000 2.213 0.000
Tc 2.213 0.000 0.000
Ni 0.000 0.000 0.000
CELL_PARAMETERS angstrom
4.426 0.000 0.000
0.000 4.426 0.000
0.000 0.000 4.426
```

M_tot = 3.7 μB per formula unit
DOS at the Fermi energy = 7.30 states/eV per cell
space group = Pm-3m



Of them, the most stable is #one and the least stable is #two.



#one
Material: TcNi3P
Method: DFT, PBE
State: relaxed Values from VASP.

Structure (Quantum ESPRESSO input):
```
&SYSTEM
  ibrav = 0, nat = 5, ntyp = 3
/
ATOMIC_SPECIES
Tc 98.00 Tc.upf
Ni 58.69 Ni.upf
P 30.97 P.upf
ATOMIC_POSITIONS angstrom
Tc 0.000 0.000 0.000
Ni -0.547 0.593 2.070
Ni 2.151 0.051 0.554
Ni -0.100 -2.141 0.587
P 1.504 -1.496 3.210
CELL_PARAMETERS angstrom
-0.200 -4.281 1.173
4.302 0.103 1.108
-1.095 1.186 4.140
```

M_tot = 0.0 μB per formula unit
DOS at the Fermi energy = 6.90 states/eV per cell
space group = Pm-3m



#two
Material: TcNi3P
Method: DFT, PBE
State: relaxed Values from VASP.

Structure (Quantum ESPRESSO input):
```
&SYSTEM
  ibrav = 0, nat = 5, ntyp = 3
/
ATOMIC_SPECIES
Tc 98.00 Tc.upf
Ni 58.69 Ni.upf
P 30.97 P.upf
ATOMIC_POSITIONS angstrom
Tc -1.379 3.098 1.177
Ni -1.086 1.340 -1.150
Ni 1.093 1.570 0.798
Ni -1.387 0.188 1.529
P 0.000 0.000 0.000
CELL_PARAMETERS angstrom
-2.171 2.680 -2.299
-2.773 0.376 3.058
2.186 3.140 1.596
```

M_tot = 4.1 μB per formula unit
DOS at the Fermi energy = 2.98 states/eV per cell
space group = Pm-3m



Of them, the most stable is #two and the least stable is #one.